Computed, not measured: a relaxed BaNaIn2Rh crystal at the PBE level of DFT.

Cell: 5.1997 5.1997 5.4995 Å, 90.00 90.00 90.00°
Last column: nearest neighbours and their distance in Å.
Fractional coordinates of all 5 atoms:
1 Ba 0.0000 0.0000 0.0000  4 Na 3.68, 8 In 3.78
2 Na 0.5000 0.5000 0.0000  2 Rh 2.75
3 In 0.0000 0.5000 0.5000  2 Rh 2.60
4 In 0.5000 0.0000 0.5000  2 Rh 2.60
5 Rh 0.5000 0.5000 0.5000  4 In 2.60, 2 Na 2.75

Computed properties:
Volume ... 149 Å³/cell
Crystal system ... tetragonal
Energy above the lowest structure with this stoichiometry ... 0 meV/atom
Energy relative to the elements ... -0.265 eV/atom
Space-group type ... P4/mmm, No. 123